A plane-wave DFT calculation with PBE-GGA was carried out for a relaxed structure of Ca5SiPd2.

abc: 7.7257 7.7257 8.9922
angles: 115.44 115.44 90.00
Closest atoms and distances in Å follow each position.
Fractional coordinates of all 16 atoms:
Pd 0.3750 0.8750 0.0000  1 Pd 2.73, 4 Ca 3.01-3.05
Pd 0.8750 0.6250 0.0000  1 Pd 2.73, 4 Ca 3.01-3.05
Pd 0.6250 0.1250 0.0000  1 Pd 2.73, 4 Ca 3.01-3.05
Pd 0.1250 0.3750 0.0000  1 Pd 2.73, 4 Ca 3.01-3.05
Ca 0.3147 0.8147 0.2849  3 Pd 3.01-3.09, 2 Si 3.25
Ca 0.5298 0.6853 0.7151  3 Pd 3.01-3.09, 2 Si 3.25
Ca 0.4702 0.3147 0.2849  3 Pd 3.01-3.09, 2 Si 3.25
Ca 0.9702 0.4702 0.2849  3 Pd 3.01-3.09, 2 Si 3.25
Ca 0.6853 0.1853 0.7151  3 Pd 3.01-3.09, 2 Si 3.25
Ca 0.8147 0.9702 0.2849  3 Pd 3.01-3.09, 2 Si 3.25
Ca 0.5000 0.5000 0.0000  4 Pd 3.05
Ca 0.1853 0.0298 0.7151  3 Pd 3.01-3.09, 2 Si 3.25
Ca 0.0298 0.5298 0.7151  3 Pd 3.01-3.09, 2 Si 3.25
Ca 0.0000 0.0000 0.0000  4 Pd 3.05
Si 0.2500 0.2500 0.5000  10 Ca 3.25-3.57
Si 0.7500 0.7500 0.5000  10 Ca 3.25-3.57

Summary:
Total energy ... -60.27 eV/cell
Calculated volume ... 426.3 Å³ per cell
M_tot ... 0.00 Bohr magnetons per cell
Formation energy (no corrections) ... -540 meV/atom